Entry 1:
First-principles (GGA-PBE) data for crystalline CeDy2Fe at its relaxed geometry, as listed in the Alexandria database.

a = 6.800 Å, b = 9.488 Å, c = 6.343 Å
α = 90.00°, β = 90.00°, γ = 90.00°
Sites, in units of the cell vectors:
Ce (0.072, 0.250, 0.134)
Ce (0.428, 0.750, 0.634)
Ce (0.572, 0.250, 0.366)
Ce (0.928, 0.750, 0.866)
Dy (0.167, 0.065, 0.672)
Dy (0.167, 0.435, 0.672)
Dy (0.333, 0.565, 0.172)
Dy (0.333, 0.935, 0.172)
Dy (0.667, 0.065, 0.828)
Dy (0.667, 0.435, 0.828)
Dy (0.833, 0.565, 0.328)
Dy (0.833, 0.935, 0.328)
Fe (0.144, 0.750, 0.492)
Fe (0.356, 0.250, 0.992)
Fe (0.644, 0.750, 0.008)
Fe (0.856, 0.250, 0.508)

- DFT formation energy (meV/atom) = -124
- theoretical density (g cm⁻³) = 8.45
- calculated volume (Å³/atom) = 25.579
- distance to the lowest polymorph of the same formula (kJ per mole of atoms) = 0.0
- space group = Pnma (62)

Entry 2:
First-principles (GGA-PBE) data for crystalline Ce2DyFeHg at its relaxed geometry, as listed in the Alexandria database.

a = 4.861 Å, b = 4.861 Å, c = 5.497 Å
α = 90.00°, β = 90.00°, γ = 90.00°
Sites, in units of the cell vectors:
Ce (0.000, 0.500, 0.000)
Ce (0.500, 0.000, 0.000)
Dy (0.000, 0.000, 0.500)
Fe (0.000, 0.000, 0.000)
Hg (0.500, 0.500, 0.501)

- DFT formation energy (meV/atom) = -177
- theoretical density (g cm⁻³) = 8.94
- calculated volume (Å³/atom) = 25.976
- space group = P4mm (99)

Entry 3:
First-principles (GGA-PBE) data for crystalline LiCeDyFe at its relaxed geometry, as listed in the Alexandria database.

a = 4.865 Å, b = 4.865 Å, c = 4.865 Å
α = 60.00°, β = 60.00°, γ = 60.00°
Sites, in units of the cell vectors:
Li (0.000, 0.000, 0.000)
Ce (0.750, 0.750, 0.750)
Dy (0.250, 0.250, 0.250)
Fe (0.500, 0.500, 0.500)

- DFT formation energy (meV/atom) = 130
- theoretical density (g cm⁻³) = 7.45
- calculated volume (Å³/atom) = 20.358
- space group = F-43m (216)

Entry 4:
First-principles (GGA-PBE) data for crystalline CeDyFeOs at its relaxed geometry, as listed in the Alexandria database.

a = 4.839 Å, b = 4.839 Å, c = 4.839 Å
α = 60.00°, β = 60.00°, γ = 60.00°
Sites, in units of the cell vectors:
Ce (0.000, 0.000, 0.000)
Dy (0.500, 0.500, 0.500)
Fe (0.250, 0.250, 0.250)
Os (0.750, 0.750, 0.750)

- DFT formation energy (meV/atom) = -20
- theoretical density (g cm⁻³) = 11.37
- calculated volume (Å³/atom) = 20.032
- space group = F-43m (216)

Entry 5:
First-principles (GGA-PBE) data for crystalline CeDy2Ga9 at its relaxed geometry, as listed in the Alexandria database.

a = 4.291 Å, b = 4.291 Å, c = 12.886 Å
α = 90.00°, β = 90.00°, γ = 90.00°
Sites, in units of the cell vectors:
Ce (0.000, 0.000, 0.000)
Dy (0.000, 0.000, 0.336)
Dy (0.000, 0.000, 0.664)
Ga (0.000, 0.500, 0.169)
Ga (0.000, 0.500, 0.500)
Ga (0.000, 0.500, 0.831)
Ga (0.500, 0.000, 0.169)
Ga (0.500, 0.000, 0.500)
Ga (0.500, 0.000, 0.831)
Ga (0.500, 0.500, 0.000)
Ga (0.500, 0.500, 0.333)
Ga (0.500, 0.500, 0.667)

- DFT formation energy (meV/atom) = -533
- theoretical density (g cm⁻³) = 7.65
- calculated volume (Å³/atom) = 19.769
- space group = P4/mmm (123)

Entry 6:
First-principles (GGA-PBE) data for crystalline CeDy5Ga6 at its relaxed geometry, as listed in the Alexandria database.

a = 8.025 Å, b = 8.025 Å, c = 7.162 Å
α = 90.00°, β = 90.00°, γ = 143.24°
Sites, in units of the cell vectors:
Ce (0.000, 0.000, 0.000)
Dy (0.000, 0.000, 0.500)
Dy (0.332, 0.668, 0.000)
Dy (0.336, 0.664, 0.500)
Dy (0.664, 0.336, 0.500)
Dy (0.668, 0.332, 0.000)
Ga (0.170, 0.830, 0.255)
Ga (0.170, 0.830, 0.745)
Ga (0.500, 0.500, 0.253)
Ga (0.500, 0.500, 0.747)
Ga (0.830, 0.170, 0.255)
Ga (0.830, 0.170, 0.745)

- DFT formation energy (meV/atom) = -562
- theoretical density (g cm⁻³) = 8.25
- calculated volume (Å³/atom) = 23.003
- space group = Cmmm (65)

Entry 7:
First-principles (GGA-PBE) data for crystalline CeDyGa at its relaxed geometry, as listed in the Alexandria database.

a = 7.103 Å, b = 7.103 Å, c = 7.103 Å
α = 152.02°, β = 152.02°, γ = 39.99°
Sites, in units of the cell vectors:
Ce (0.000, 0.000, 0.000)
Dy (0.292, 0.292, 0.000)
Ga (0.650, 0.650, 0.000)

- DFT formation energy (meV/atom) = -288
- theoretical density (g cm⁻³) = 7.85
- calculated volume (Å³/atom) = 26.242
- distance to the lowest polymorph of the same formula (kJ per mole of atoms) = 5.7
- space group = I4mm (107)

Entry 8:
First-principles (GGA-PBE) data for crystalline CeDy6Ga3 at its relaxed geometry, as listed in the Alexandria database.

a = 8.296 Å, b = 8.296 Å, c = 8.276 Å
α = 90.00°, β = 90.00°, γ = 99.48°
Sites, in units of the cell vectors:
Ce (0.167, 0.833, 0.500)
Ce (0.833, 0.167, 0.000)
Dy (0.087, 0.444, 0.284)
Dy (0.102, 0.233, 0.642)
Dy (0.233, 0.102, 0.142)
Dy (0.276, 0.724, 0.996)
Dy (0.444, 0.087, 0.784)
Dy (0.466, 0.534, 0.665)
Dy (0.534, 0.466, 0.165)
Dy (0.556, 0.913, 0.284)
Dy (0.724, 0.276, 0.496)
Dy (0.767, 0.898, 0.642)
Dy (0.898, 0.767, 0.142)
Dy (0.913, 0.556, 0.784)
Ga (0.071, 0.929, 0.839)
Ga (0.216, 0.380, 0.944)
Ga (0.380, 0.216, 0.444)
Ga (0.620, 0.784, 0.944)
Ga (0.784, 0.620, 0.444)
Ga (0.929, 0.071, 0.339)

- DFT formation energy (meV/atom) = -276
- theoretical density (g cm⁻³) = 7.83
- calculated volume (Å³/atom) = 28.092
- space group = Cmc2_1 (36)

Entry 9:
First-principles (GGA-PBE) data for crystalline CeDy2Ga2 at its relaxed geometry, as listed in the Alexandria database.

a = 8.900 Å, b = 8.900 Å, c = 6.273 Å
α = 90.00°, β = 90.00°, γ = 148.79°
Sites, in units of the cell vectors:
Ce (0.107, 0.893, 0.500)
Ce (0.893, 0.107, 0.000)
Dy (0.307, 0.693, 0.403)
Dy (0.482, 0.518, 0.715)
Dy (0.518, 0.482, 0.215)
Dy (0.693, 0.307, 0.903)
Ga (0.076, 0.924, 0.979)
Ga (0.299, 0.701, 0.887)
Ga (0.701, 0.299, 0.387)
Ga (0.924, 0.076, 0.479)

- DFT formation energy (meV/atom) = -341
- theoretical density (g cm⁻³) = 7.80
- calculated volume (Å³/atom) = 25.744
- space group = Cmc2_1 (36)

Entry 10:
First-principles (GGA-PBE) data for crystalline Ce3DyGa4 at its relaxed geometry, as listed in the Alexandria database.

a = 3.334 Å, b = 3.334 Å, c = 16.552 Å
α = 90.00°, β = 90.00°, γ = 90.00°
Sites, in units of the cell vectors:
Ce (0.000, 0.000, 0.000)
Ce (0.000, 0.000, 0.255)
Ce (0.000, 0.000, 0.745)
Dy (0.000, 0.000, 0.500)
Ga (0.500, 0.500, 0.127)
Ga (0.500, 0.500, 0.380)
Ga (0.500, 0.500, 0.620)
Ga (0.500, 0.500, 0.873)

- DFT formation energy (meV/atom) = -509
- theoretical density (g cm⁻³) = 7.78
- calculated volume (Å³/atom) = 22.993
- space group = P4/mmm (123)